! PBE TlTc3Os, relaxed; values from VASP
! Space-group type ... Pm-3m, No. 221
! Energy of formation from the pure elements ... 1.59 eV/atom
&SYSTEM
  ibrav = 0, nat = 5, ntyp = 3
/
ATOMIC_SPECIES
Os 190.23 Os.upf
Tc 98.00 Tc.upf
Tl 204.38 Tl.upf
CELL_PARAMETERS angstrom
4.756 0.000 0.000
0.000 4.756 0.000
0.000 0.000 4.756
ATOMIC_POSITIONS angstrom
Os 0.000 0.000 0.000
Tc 0.000 0.000 2.378
Tc 2.378 0.000 0.000
Tc 0.000 2.378 0.000
Tl 2.378 2.378 2.378

=====

! PBE TlTcOs2, relaxed; values from VASP
! Space-group type ... Cmmm, No. 65
! Energy of formation from the pure elements ... 0.90 eV/atom
&SYSTEM
  ibrav = 0, nat = 4, ntyp = 3
/
ATOMIC_SPECIES
Os 190.23 Os.upf
Tc 98.00 Tc.upf
Tl 204.38 Tl.upf
CELL_PARAMETERS angstrom
-0.524 0.565 2.706
-0.977 -2.396 -1.103
8.335 -4.583 2.570
ATOMIC_POSITIONS angstrom
Os 3.929 -2.160 1.212
Tc 1.333 -2.061 1.444
Tl 5.501 -4.353 2.729
Os 0.238 -0.131 0.073

=====

! PBE TlTc4Os, relaxed; values from VASP
! Space-group type ... F-43m, No. 216
! Energy of formation from the pure elements ... 0.69 eV/atom
&SYSTEM
  ibrav = 0, nat = 6, ntyp = 3
/
ATOMIC_SPECIES
Tc 98.00 Tc.upf
Os 190.23 Os.upf
Tl 204.38 Tl.upf
CELL_PARAMETERS angstrom
0.000 3.650 3.650
3.650 0.000 3.650
3.650 3.650 0.000
ATOMIC_POSITIONS angstrom
Tc 4.560 2.739 4.560
Os 0.000 0.000 0.000
Tc 4.560 4.560 2.739
Tc 2.739 4.560 4.560
Tl 5.474 5.474 5.474
Tc 2.739 2.739 2.739